# 1
DFT (GGA-PBE) results for Rb2ThCu2S4 after structural relaxation.

Unit cell a=7.633 b=7.633 c=7.894 alpha=108.60 beta=108.60 gamma=30.94
Atoms (fractional coordinates):
1 Rb 0.139 0.139 0.066
2 Rb 0.861 0.861 0.934
3 Th 0.000 0.000 0.500
4 Cu 0.321 0.321 0.514
5 Cu 0.679 0.679 0.486
6 S 0.200 0.200 0.660
7 S 0.477 0.477 0.729
8 S 0.523 0.523 0.271
9 S 0.800 0.800 0.340

space-group type	C2/m, No. 12
crystal system	monoclinic
mass density	4.9	g/cm3
formation energy (no corrections)	-1058.4	kJ/mol of formula units
M_tot	0.00	μB/f.u.

***

# 2
DFT (GGA-PBE) results for BeSb2Se after structural relaxation.

Unit cell a=3.410 b=3.410 c=7.173 alpha=90.00 beta=90.00 gamma=90.00
Atoms (fractional coordinates):
1 Be 0.000 0.000 0.000
2 Sb 0.500 0.500 0.223
3 Sb 0.500 0.500 0.777
4 Se 0.000 0.000 0.500

density of states at the Fermi level	0.6375	states/eV/atom
space-group type	P4/mmm, No. 123
crystal system	tetragonal
mass density	6.6	g/cm3
formation energy (no corrections)	170.0	kJ/mol of formula units
M_tot	0.00	μB/f.u.

***

# 3
DFT (GGA-PBE) results for Cd6Hg2Pb after structural relaxation.

Unit cell a=8.876 b=8.876 c=3.449 alpha=100.50 beta=100.50 gamma=57.51
Atoms (fractional coordinates):
1 Cd 0.148 0.497 0.816
2 Cd 0.173 0.827 0.000
3 Cd 0.497 0.148 0.816
4 Cd 0.503 0.852 0.184
5 Cd 0.827 0.173 0.000
6 Cd 0.852 0.503 0.184
7 Hg 0.145 0.145 0.637
8 Hg 0.855 0.855 0.363
9 Pb 0.500 0.500 0.500

density of states at the Fermi level	0.2596	states/eV/atom
space-group type	C2/m, No. 12
crystal system	monoclinic
mass density	9.5	g/cm3
E_form	38	meV/atom
M_tot	0.00	μB/f.u.

***

# 4
DFT (GGA-PBE) results for Fe2PbSeI after structural relaxation.

Unit cell a=4.670 b=4.670 c=6.658 alpha=90.00 beta=90.00 gamma=90.00
Atoms (fractional coordinates):
1 Fe 0.000 0.500 0.000
2 Fe 0.500 0.000 0.000
3 Pb 0.000 0.000 0.500
4 Se 0.500 0.500 0.500
5 I 0.500 0.500 0.000

density of states at the Fermi level	1.3250	states/eV/atom
space-group type	P4/mmm, No. 123
crystal system	tetragonal
mass density	6.0	g/cm3
formation energy (no corrections)	521.9	kJ/mol of formula units
M_tot	4.83	μB/f.u.